[1]
Na3YNb: single point on PBEsol structure, SCAN.

Computed properties:
Electronic total energy ... -12.916 eV per atom
Symmetry ... Pm-3m
Energy relative to the elements ... 9.0 eV per formula unit

Cell and atoms, written as POSCAR:
```
Na3YNb
1.0
5.7726 0.0000 0.0000
0.0000 5.7726 0.0000
0.0000 0.0000 5.7726
Y Na Nb
1 3 1
Cartesian
0.0000 0.0000 0.0000
0.0000 2.8863 0.0000
0.0000 0.0000 2.8863
2.8863 0.0000 0.0000
2.8863 2.8863 2.8863
```

[2]
NaPWO6: single point on PBEsol structure, SCAN.

Computed properties:
Electronic total energy ... -15.900 eV per atom
Uncorrected formation energy ... -2.379 eV/atom
Symmetry ... P2_1/c

Cell and atoms, written as POSCAR:
```
NaPWO6
1.0
-4.0083 -3.3465 -3.6482
5.9432 -10.0352 2.6756
-7.0465 -1.5872 9.6988
Na P W O
8 8 8 48
Cartesian
-0.1094 -2.1751 1.8104
-0.2863 -8.9568 3.5252
-5.0021 -12.7939 6.9159
-4.8253 -6.0122 5.2011
-1.3151 -4.9469 -0.0329
-1.7840 -11.7347 2.3078
-3.7964 -10.0221 8.7592
-3.3275 -3.2343 6.4185
-3.3873 -1.8261 2.8849
1.3223 -6.4872 1.6992
-1.7243 -13.1429 5.8413
-6.4339 -8.4818 7.0271
-3.7895 -7.0877 2.5188
1.8198 -11.5010 0.2645
-1.3221 -7.8812 6.2074
-6.9313 -3.4680 8.4618
-5.1092 -4.1473 1.3167
-0.2282 -8.7550 -0.0495
-0.0024 -10.8217 7.4095
-4.8834 -6.2140 8.7758
-1.2597 -5.4091 3.7061
3.4117 -10.0245 2.7764
-3.8519 -9.5599 5.0201
-8.5232 -4.9444 5.9498
-3.7643 -4.5622 0.2573
-0.7992 -9.6468 1.3583
-1.3472 -10.4068 8.4690
-4.3124 -5.3222 7.3679
-1.2098 -7.3196 -0.0770
0.1294 -12.7707 3.2607
-3.9017 -7.6494 8.8032
-5.2410 -2.1983 5.4656
-1.1044 -4.1631 2.4840
2.0236 -9.1889 3.4435
-4.0072 -10.8059 6.2422
-7.1351 -5.7800 5.2828
-2.6514 -4.9241 4.6574
3.9240 -9.0248 1.4292
-2.4602 -10.0449 4.0688
-9.0356 -5.9442 7.2970
1.0430 -5.3017 0.7692
-4.7903 -5.9190 2.4796
1.5033 -10.7977 5.8908
-6.6149 -4.1712 2.8354
-2.5899 -1.4378 1.6376
0.3178 -6.5258 2.8533
-2.5217 -13.5312 7.0887
-5.4294 -8.4432 5.8730
-3.9245 -7.9920 1.2746
2.3651 -11.2896 1.6934
-1.1871 -6.9770 7.4516
-7.4767 -3.6794 7.0328
-2.3222 -6.5942 2.5150
0.6644 -12.5212 0.4088
-2.7894 -8.3748 6.2113
-5.7760 -2.4478 8.3175
-7.8797 -8.5571 6.4631
-1.0543 -11.7576 6.0560
2.7682 -6.4119 2.2631
-4.0573 -3.2114 2.6702
-6.3742 -7.1394 7.8083
-2.6993 -12.9397 4.6480
1.2627 -7.8296 0.9179
-2.4123 -2.0293 4.0783
-4.0825 -7.8325 3.8182
-4.1692 -13.6343 9.0081
-1.0290 -7.1365 4.9081
-0.9424 -1.3347 -0.2819
-6.4560 -4.7917 9.0870
-0.3213 -9.0500 6.2467
1.3444 -10.1773 -0.3608
-6.1546 -9.6673 7.9570
```

[3]
FeReIr2: single point on PBEsol structure, SCAN.

Computed properties:
Energy relative to the lowest polymorph listed for this composition ... 0 meV/atom
Electronic total energy ... -58.086 eV per atom
Symmetry ... P4/mmm
Energy relative to the elements ... -0.9 eV per formula unit

Cell and atoms, written as POSCAR:
```
FeReIr2
1.0
-1.5599 0.3344 2.1893
1.8094 -1.3518 1.4957
3.4969 6.3621 1.5197
Re Ir Fe
1 2 1
Cartesian
0.1247 -0.5087 1.8425
2.6063 4.7418 1.1327
0.8906 1.6203 0.3870
1.8732 2.6723 2.6023
```